1.
Entry from OQMD: an optimized crystal structure of MgAuO2 (GGA-PBE).

Values from the calculation:
The calculated total energy is -20.1 eV/f.u.

Cell lengths 5.6504, 11.2540, 3.0557 Å; angles 90.00, 90.00, 90.00 degrees
Space group Cmmm (No. 65)
Unique sites:
Mg 0.2500 0.2500 0.0000
Au 0.0000 0.0000 0.5000
Au 0.0000 0.5000 0.5000
O 0.0000 0.1196 0.0000
O 0.0000 0.3121 0.5000

=====

2.
Entry from OQMD: an optimized crystal structure of PuMo (GGA-PBE).

Values from the calculation:
Its magnetic moment is 3.34 μB/f.u. The calculation puts the energy above the most stable polymorph in this dataset at 1.99 eV/f.u. The value obtained for the energy of formation from the pure elements is 1.47 eV/atom. The calculated total energy is -22.0 eV/f.u.

Cell lengths 5.7797, 5.7797, 5.7797 Å; angles 90.00, 90.00, 90.00 degrees
Space group F-43m (No. 216)
Unique sites:
Pu 0.0000 0.0000 0.0000
Mo 0.2500 0.2500 0.2500

=====

3.
Entry from OQMD: an optimized crystal structure of NaNdFe (GGA-PBE).

Values from the calculation:
Its magnetic moment is 1.91 μB/f.u. The calculation puts the energy above the most stable polymorph in this dataset at 1.00 eV/f.u. The calculated total energy is -11.0 eV/f.u.

Cell lengths 6.9010, 6.9010, 6.9010 Å; angles 90.00, 90.00, 90.00 degrees
Space group F-43m (No. 216)
Unique sites:
Na 0.0000 0.0000 0.0000
Nd 0.2500 0.2500 0.7500
Fe 0.0000 0.0000 0.5000

=====

Question: What is the calculated total energy in the third record?
Answer: -11.0 eV/f.u.